Here is AcPrRuCl after structural relaxation from Alexandria via LeMat-Bulk. Energies are from PBE-GGA.

Output
magnetic moment	0.00	μB per cell
formation energy (no corrections)	-3.376	eV per formula unit
D(E_F)	8.766	states/eV/cell

Lattice parameters (Å, degrees): 4.1591 4.1591 23.8944 90.00 90.00 120.00
Space group R3m (No. 160, hexagonal axes)
Symmetry-distinct sites (fractional):
Ac  0.0000  0.0000  0.0000 (multiplicity 3)
Pr  0.0000  0.0000  0.8012 (multiplicity 3)
Ru  0.0000  0.0000  0.4025 (multiplicity 3)
Cl  0.0000  0.0000  0.2274 (multiplicity 3)